## A
Below is crystalline RbCN2F at its relaxed geometry, with properties calculated at the PBE level.

Computed properties:
**M_tot**: 0.00 μB per formula unit
**Space-group type**: P4/mmm

a = 3.311 Å, b = 3.311 Å, c = 6.790 Å
α = 90.00°, β = 90.00°, γ = 90.00°
Fractional positions:
C 0.000 0.000 0.000
N 0.000 0.500 0.000
N 0.500 0.000 0.000
Rb 0.500 0.500 0.500
F 0.000 0.000 0.500

---

## B
Below is crystalline RbCN2F at its relaxed geometry, with properties calculated at the PBE level.

Computed properties:
**M_tot**: 8.11 μB per formula unit
**Space-group type**: P4/mmm

a = 6.160 Å, b = 6.160 Å, c = 5.038 Å
α = 90.00°, β = 90.00°, γ = 90.00°
Last column: magnetic moment on the atom in μB.
Fractional positions:
C 0.500 0.500 0.500  1.01
N 0.000 0.500 0.000  1.94
N 0.500 0.000 0.000  1.94
Rb 0.000 0.000 0.000  0.03
F 0.000 0.000 0.500  0.07

---

Short version: B is the least stable of them.

---

## A
Below is crystalline ReCN2F at its relaxed geometry, with properties calculated at the PBE level.

Computed properties:
**M_tot**: 2.27 μB per formula unit
**Space-group type**: P4/mmm

a = 3.625 Å, b = 3.625 Å, c = 3.248 Å
α = 90.00°, β = 90.00°, γ = 90.00°
Last column: magnetic moment on the atom in μB.
Fractional positions:
Re 0.500 0.500 0.500  2.17
C 0.000 0.000 0.000  -0.01
N 0.000 0.500 0.000  -0.07
N 0.500 0.000 0.000  -0.07
F 0.000 0.000 0.500  0.08

---

## B
Below is crystalline ReCN2F at its relaxed geometry, with properties calculated at the PBE level.

Computed properties:
**M_tot**: 1.42 μB per formula unit
**Space-group type**: P4/mmm

a = 3.866 Å, b = 3.866 Å, c = 4.056 Å
α = 90.00°, β = 90.00°, γ = 90.00°
Last column: magnetic moment on the atom in μB.
Fractional positions:
Re 0.000 0.000 0.000  0.46
C 0.500 0.500 0.500  0.81
N 0.000 0.500 0.000  -0.25
N 0.500 0.000 0.000  -0.25
F 0.000 0.000 0.500  0.05

---

Short version: A is the least stable of them.

---

## A
Below is crystalline RhCNF2 at its relaxed geometry, with properties calculated at the PBE level.

Computed properties:
**M_tot**: 1.18 μB per formula unit
**Space-group type**: P4/mmm

a = 4.201 Å, b = 4.201 Å, c = 3.703 Å
α = 90.00°, β = 90.00°, γ = 90.00°
Last column: magnetic moment on the atom in μB.
Fractional positions:
C 0.500 0.500 0.500  0.79
N 0.000 0.000 0.500  -0.26
Rh 0.000 0.000 0.000  0.03
F 0.000 0.500 0.000  0.00
F 0.500 0.000 0.000  0.00

---

## B
Below is crystalline RhCNF2 at its relaxed geometry, with properties calculated at the PBE level.

Computed properties:
**M_tot**: 1.89 μB per formula unit
**Space-group type**: P4/mmm

a = 4.637 Å, b = 4.637 Å, c = 2.469 Å
α = 90.00°, β = 90.00°, γ = 90.00°
Last column: magnetic moment on the atom in μB.
Fractional positions:
C 0.000 0.000 0.000  -0.01
N 0.000 0.000 0.500  0.00
Rh 0.500 0.500 0.500  1.68
F 0.000 0.500 0.000  0.07
F 0.500 0.000 0.000  0.07

---

Short version: A is the least stable of them.

---

## A
Below is crystalline RuCN2F at its relaxed geometry, with properties calculated at the PBE level.

Computed properties:
**M_tot**: 0.83 μB per formula unit
**Space-group type**: P4/mmm

a = 3.814 Å, b = 3.814 Å, c = 4.078 Å
α = 90.00°, β = 90.00°, γ = 90.00°
Last column: magnetic moment on the atom in μB.
Fractional positions:
Ru 0.000 0.000 0.000  0.28
C 0.500 0.500 0.500  0.74
N 0.000 0.500 0.000  -0.33
N 0.500 0.000 0.000  -0.33
F 0.000 0.000 0.500  0.02

---

## B
Below is crystalline RuCN2F at its relaxed geometry, with properties calculated at the PBE level.

Computed properties:
**M_tot**: 1.70 μB per formula unit
**Space-group type**: P4/mmm

a = 3.495 Å, b = 3.495 Å, c = 3.438 Å
α = 90.00°, β = 90.00°, γ = 90.00°
Last column: magnetic moment on the atom in μB.
Fractional positions:
Ru 0.500 0.500 0.500  1.58
C 0.000 0.000 0.000  -0.03
N 0.000 0.500 0.000  0.00
N 0.500 0.000 0.000  0.00
F 0.000 0.000 0.500  0.09

---

Short version: B is the least stable of them.

---

## A
Below is crystalline ScCNF2 at its relaxed geometry, with properties calculated at the PBE level.

Computed properties:
**M_tot**: 0.00 μB per formula unit
**Space-group type**: P4/mmm

a = 3.976 Å, b = 3.976 Å, c = 4.492 Å
α = 90.00°, β = 90.00°, γ = 90.00°
Last column: magnetic moment on the atom in μB.
Fractional positions:
Sc 0.000 0.000 0.000  0.01
C 0.500 0.500 0.500  -0.76
N 0.000 0.000 0.500  0.98
F 0.000 0.500 0.000  0.00
F 0.500 0.000 0.000  0.00

---

## B
Below is crystalline ScCNF2 at its relaxed geometry, with properties calculated at the PBE level.

Computed properties:
**M_tot**: 0.00 μB per formula unit
**Space-group type**: P4/mmm

a = 4.572 Å, b = 4.572 Å, c = 2.504 Å
α = 90.00°, β = 90.00°, γ = 90.00°
Fractional positions:
Sc 0.500 0.500 0.500
C 0.000 0.000 0.000
N 0.000 0.000 0.500
F 0.000 0.500 0.000
F 0.500 0.000 0.000

---

Short version: A is the least stable of them.

---

## A
Below is crystalline SiCN2F at its relaxed geometry, with properties calculated at the PBE level.

Computed properties:
**M_tot**: 0.42 μB per formula unit
**Space-group type**: P4/mmm

a = 3.610 Å, b = 3.610 Å, c = 3.476 Å
α = 90.00°, β = 90.00°, γ = 90.00°
Last column: magnetic moment on the atom in μB.
Fractional positions:
Si 0.000 0.000 0.000  -0.01
N 0.000 0.500 0.000  0.27
N 0.500 0.000 0.000  0.27
C 0.500 0.500 0.500  -0.17
F 0.000 0.000 0.500  0.00

---

## B
Below is crystalline SiCN2F at its relaxed geometry, with properties calculated at the PBE level.

Computed properties:
**M_tot**: 0.00 μB per formula unit
**Space-group type**: P4/mmm

a = 3.429 Å, b = 3.429 Å, c = 3.405 Å
α = 90.00°, β = 90.00°, γ = 90.00°
Fractional positions:
Si 0.500 0.500 0.500
N 0.000 0.500 0.000
N 0.500 0.000 0.000
C 0.000 0.000 0.000
F 0.000 0.000 0.500

---

Short version: B is the least stable of them.

---

## A
Below is crystalline SnCN2F at its relaxed geometry, with properties calculated at the PBE level.

Computed properties:
**M_tot**: 1.00 μB per formula unit
**Space-group type**: P4/mmm

a = 4.198 Å, b = 4.198 Å, c = 4.073 Å
α = 90.00°, β = 90.00°, γ = 90.00°
Last column: magnetic moment on the atom in μB.
Fractional positions:
C 0.500 0.500 0.500  -0.77
N 0.000 0.500 0.000  0.89
N 0.500 0.000 0.000  0.89
Sn 0.000 0.000 0.000  -0.04
F 0.000 0.000 0.500  -0.01

---

## B
Below is crystalline SnCN2F at its relaxed geometry, with properties calculated at the PBE level.

Computed properties:
**M_tot**: 0.34 μB per formula unit
**Space-group type**: P4/mmm

a = 3.312 Å, b = 3.312 Å, c = 5.022 Å
α = 90.00°, β = 90.00°, γ = 90.00°
Last column: magnetic moment on the atom in μB.
Fractional positions:
C 0.000 0.000 0.000  0.00
N 0.000 0.500 0.000  0.13
N 0.500 0.000 0.000  0.13
Sn 0.500 0.500 0.500  0.00
F 0.000 0.000 0.500  0.00

---

Short version: A is the least stable of them.

---

## A
Below is crystalline SrCNF2 at its relaxed geometry, with properties calculated at the PBE level.

Computed properties:
**M_tot**: 4.58 μB per formula unit
**Space-group type**: P4/mmm

a = 4.730 Å, b = 4.730 Å, c = 5.543 Å
α = 90.00°, β = 90.00°, γ = 90.00°
Last column: magnetic moment on the atom in μB.
Fractional positions:
Sr 0.000 0.000 0.000  0.02
C 0.500 0.500 0.500  0.93
N 0.000 0.000 0.500  1.79
F 0.000 0.500 0.000  0.02
F 0.500 0.000 0.000  0.02

---

## B
Below is crystalline SrCNF2 at its relaxed geometry, with properties calculated at the PBE level.

Computed properties:
**M_tot**: 0.09 μB per formula unit
**Space-group type**: P4/mmm

a = 4.690 Å, b = 4.690 Å, c = 2.602 Å
α = 90.00°, β = 90.00°, γ = 90.00°
Last column: magnetic moment on the atom in μB.
Fractional positions:
Sr 0.500 0.500 0.500  0.08
C 0.000 0.000 0.000  0.00
N 0.000 0.000 0.500  0.00
F 0.000 0.500 0.000  0.00
F 0.500 0.000 0.000  0.00

---

Short version: A is the least stable of them.

---

## A
Below is crystalline TcCNF2 at its relaxed geometry, with properties calculated at the PBE level.

Computed properties:
**M_tot**: 2.84 μB per formula unit
**Space-group type**: P4/mmm

a = 4.100 Å, b = 4.100 Å, c = 3.797 Å
α = 90.00°, β = 90.00°, γ = 90.00°
Last column: magnetic moment on the atom in μB.
Fractional positions:
C 0.500 0.500 0.500  0.90
N 0.000 0.000 0.500  -0.17
Tc 0.000 0.000 0.000  1.08
F 0.000 0.500 0.000  0.07
F 0.500 0.000 0.000  0.07

---

## B
Below is crystalline TcCNF2 at its relaxed geometry, with properties calculated at the PBE level.

Computed properties:
**M_tot**: 2.51 μB per formula unit
**Space-group type**: P4/mmm

a = 4.733 Å, b = 4.733 Å, c = 2.452 Å
α = 90.00°, β = 90.00°, γ = 90.00°
Last column: magnetic moment on the atom in μB.
Fractional positions:
C 0.000 0.000 0.000  0.05
N 0.000 0.000 0.500  -0.01
Tc 0.500 0.500 0.500  2.09
F 0.000 0.500 0.000  0.06
F 0.500 0.000 0.000  0.06

---

Short version: A is the least stable of them.

---

## A
Below is crystalline TlCN2F at its relaxed geometry, with properties calculated at the PBE level.

Computed properties:
**M_tot**: 0.00 μB per formula unit
**Space-group type**: P4/mmm

a = 3.291 Å, b = 3.291 Å, c = 5.944 Å
α = 90.00°, β = 90.00°, γ = 90.00°
Fractional positions:
Tl 0.500 0.500 0.500
N 0.000 0.500 0.000
N 0.500 0.000 0.000
C 0.000 0.000 0.000
F 0.000 0.000 0.500

---

## B
Below is crystalline TlCN2F at its relaxed geometry, with properties calculated at the PBE level.

Computed properties:
**M_tot**: 3.92 μB per formula unit
**Space-group type**: P4/mmm

a = 4.478 Å, b = 4.478 Å, c = 4.543 Å
α = 90.00°, β = 90.00°, γ = 90.00°
Last column: magnetic moment on the atom in μB.
Fractional positions:
Tl 0.000 0.000 0.000  0.01
N 0.000 0.500 0.000  1.19
N 0.500 0.000 0.000  1.19
C 0.500 0.500 0.500  0.22
F 0.000 0.000 0.500  0.03

---

Short version: B is the least stable of them.